Material: NdGdZnSn
Method: DFT, GGA-PBE
State: optimized geometry

- Energy of formation from the pure elements: -516 meV/atom

Cell lengths 7.4885, 7.4885, 7.4885 Å; angles 90.00, 90.00, 90.00 degrees
Closest atoms and distances in Å follow each position.
Fractional coordinates of all 16 atoms:
Nd  0.0000  0.0000  0.0000  4 Zn 3.24, 4 Sn 3.24
Nd  0.0000  0.5000  0.5000  4 Zn 3.24, 4 Sn 3.24
Nd  0.5000  0.0000  0.5000  4 Zn 3.24, 4 Sn 3.24
Nd  0.5000  0.5000  0.0000  4 Zn 3.24, 4 Sn 3.24
Gd  0.0000  0.0000  0.5000  4 Sn 3.24, 4 Zn 3.24
Gd  0.0000  0.5000  0.0000  4 Sn 3.24, 4 Zn 3.24
Gd  0.5000  0.0000  0.0000  4 Sn 3.24, 4 Zn 3.24
Gd  0.5000  0.5000  0.5000  4 Sn 3.24, 4 Zn 3.24
Zn  0.2500  0.2500  0.7500  4 Gd 3.24, 4 Nd 3.24
Zn  0.2500  0.7500  0.2500  4 Gd 3.24, 4 Nd 3.24
Zn  0.7500  0.2500  0.2500  4 Gd 3.24, 4 Nd 3.24
Zn  0.7500  0.7500  0.7500  4 Gd 3.24, 4 Nd 3.24
Sn  0.2500  0.2500  0.2500  4 Gd 3.24, 4 Nd 3.24
Sn  0.2500  0.7500  0.7500  4 Gd 3.24, 4 Nd 3.24
Sn  0.7500  0.2500  0.7500  4 Gd 3.24, 4 Nd 3.24
Sn  0.7500  0.7500  0.2500  4 Gd 3.24, 4 Nd 3.24